SrAl2Zn after structural relaxation. Source: Alexandria via LeMat-Bulk, functional PBE.

Computed properties:
Total magnetic moment in μB/atom: 0.000
Formation enthalpy at 0 K in eV per atom: -0.059
Total DFT energy (no corrections) in Ry per atom: -0.1962

a b c (Å): 4.2152 3.4681 6.6259
angles (deg): 75.06 90.00 90.00
Last column: nearest neighbours and their distance in Å.
Fractional positions:
Sr 0.0000 0.5465 0.5273  4 Zn 3.22-3.23, 5 Al 3.25-3.61, 2 Sr 3.47
Zn 0.5000 0.9155 0.7959  2 Al 2.55
Al 0.5000 0.2331 0.1571  4 Al 2.86-2.88, 2 Zn 2.88-2.90
Al 0.0000 0.8049 0.0197  2 Zn 2.55

***

CaV2In2 after structural relaxation. Source: Alexandria via LeMat-Bulk, functional PBE.

Computed properties:
Total magnetic moment in μB/atom: 0.000
Formation enthalpy at 0 K in eV per atom: 0.150
Total DFT energy (no corrections) in Ry per atom: -0.3670

a b c (Å): 8.1241 8.1241 3.1649
angles (deg): 90.00 90.00 90.00
Last column: nearest neighbours and their distance in Å.
Fractional positions:
V 0.4144 0.9144 0.0000  1 V 1.97
In 0.1986 0.6986 0.5000  6 V 2.94-2.95, 2 In 3.16
Ca 0.5000 0.5000 0.0000  2 Ca 3.16, 8 In 3.33, 4 V 3.44
In 0.6986 0.8014 0.5000  6 V 2.94-2.95, 2 In 3.16
V 0.9144 0.5856 0.0000  1 V 1.97
In 0.8014 0.3014 0.5000  6 V 2.94-2.95, 2 In 3.16
Ca 0.0000 0.0000 0.0000  2 Ca 3.16, 8 In 3.33, 4 V 3.44
V 0.5856 0.0856 0.0000  1 V 1.97
In 0.3014 0.1986 0.5000  6 V 2.94-2.95, 2 In 3.16
V 0.0856 0.4144 0.0000  1 V 1.97

***

CaHo3Pt after structural relaxation. Source: Alexandria via LeMat-Bulk, functional PBE.

Computed properties:
Total magnetic moment in μB/atom: 0.000
Formation enthalpy at 0 K in eV per atom: -0.393
Total DFT energy (no corrections) in Ry per atom: -0.3490

a b c (Å): 5.5035 5.5035 5.5035
angles (deg): 90.00 90.00 90.00
Last column: nearest neighbours and their distance in Å.
Fractional positions:
Ca 0.5000 0.5000 0.5000  12 Ho 3.89
Ho 0.0000 0.5000 0.0000  2 Pt 2.75
Ho 0.5000 0.0000 0.0000  2 Pt 2.75
Pt 0.0000 0.0000 0.0000  6 Ho 2.75
Ho 0.0000 0.0000 0.5000  2 Pt 2.75